(1)
Computed, not measured: an optimized crystal structure of LaHfCd2Ni at the PBEsol level of DFT.

```
5
Lattice="-1.623 1.265 4.022 -4.975 -0.015 -2.003 -0.547 -5.148 1.399" Properties=species:S:1:pos:R:3 pbc="T T T"
La -3.573 -1.949 1.709
Ni -0.811 0.633 2.011
Cd -0.274 -2.574 0.699
Cd -2.488 -0.008 -1.001
Hf 0.000 0.000 0.000
```

- V (A^3/atom) = 25.99
- D(E_F) (states/eV/cell) = 5.1
- formation energy from the elements (meV per atom) = 449

---

(2)
Computed, not measured: an optimized crystal structure of Li2HfTiCd at the PBEsol level of DFT.

```
5
Lattice="4.830 0.000 0.000 0.000 4.830 0.000 0.000 0.000 5.252" Properties=species:S:1:pos:R:3 pbc="T T T"
Li 2.415 0.000 0.000
Cd 0.000 0.000 2.626
Li 0.000 2.415 0.000
Ti 2.415 2.415 2.626
Hf 0.000 0.000 0.000
```

- V (A^3/atom) = 24.51
- D(E_F) (states/eV/cell) = 5.8
- formation energy from the elements (meV per atom) = 1526

---

(3)
Computed, not measured: an optimized crystal structure of HfMg2CdRu at the PBEsol level of DFT.

```
5
Lattice="-3.186 1.866 2.981 -3.485 -1.140 -3.011 -0.519 -4.668 2.368" Properties=species:S:1:pos:R:3 pbc="T T T"
Ru -3.595 -1.971 1.169
Hf -0.259 -2.334 1.184
Mg -1.743 -0.570 -1.506
Cd 0.000 0.000 0.000
Mg -1.593 0.933 1.490
```

- V (A^3/atom) = 23.69
- D(E_F) (states/eV/cell) = 5.1
- formation energy from the elements (meV per atom) = 1288

---

Number 1: E_tot -4.4307 eV per atom. Number 2: E_tot -3.2650 eV per atom. Number 3: E_tot -3.7738 eV per atom.